The following is a GGA-PBE calculation of a relaxed structure of Mg5Cd2, from the Alexandria database.

Total DFT energy (no corrections) ... -10.19 eV per cell
SG ... C2/m

POSCAR file:
```
Mg5Cd2
1.0
4.937 -2.162 0.000
4.937 2.162 0.000
-1.040 0.000 7.238
Mg Cd
5 2
Direct
0.000 0.000 0.000
0.140 0.140 0.427
0.285 0.285 0.854
0.715 0.715 0.146
0.860 0.860 0.573
0.425 0.425 0.281
0.575 0.575 0.719
```



The following is a GGA-PBE calculation of a relaxed structure of Mg2Cd, from the Alexandria database.

Total DFT energy (no corrections) ... -8.64 eV per cell
SG ... C2/m

POSCAR file:
```
Mg2Cd
1.0
6.040 -1.573 0.000
6.040 1.573 0.000
-1.905 0.000 7.021
Mg Cd
4 2
Direct
0.027 0.027 0.300
0.304 0.304 0.357
0.696 0.696 0.643
0.973 0.973 0.700
0.362 0.362 0.973
0.638 0.638 0.027
```



The following is a GGA-PBE calculation of a relaxed structure of MgCd3, from the Alexandria database.

SG ... Imma
Excess energy over the best structure of this formula in the dataset ... 0.008 eV per atom

POSCAR file:
```
MgCd3
1.0
-3.055 4.264 3.398
3.055 -4.264 3.398
3.055 4.264 -3.398
Mg Cd
2 6
Direct
0.250 0.000 0.250
0.750 0.000 0.750
0.250 0.000 0.750
0.250 0.500 0.250
0.250 0.500 0.750
0.750 0.000 0.250
0.750 0.500 0.250
0.750 0.500 0.750
```



The following is a GGA-PBE calculation of a relaxed structure of Mg2Cd, from the Alexandria database.

Total DFT energy (no corrections) ... -8.32 eV per cell
SG ... P-3m1

POSCAR file:
```
Mg2Cd
1.0
3.177 0.000 0.000
-1.589 2.752 0.000
0.000 0.000 15.523
Mg Cd
4 2
Direct
0.333 0.667 0.253
0.333 0.667 0.915
0.667 0.333 0.085
0.667 0.333 0.747
0.333 0.667 0.584
0.667 0.333 0.416
```



The following is a GGA-PBE calculation of a relaxed structure of MgCd, from the Alexandria database.

Total DFT energy (no corrections) ... -8.99 eV per cell
SG ... Pm-3n

POSCAR file:
```
MgCd
1.0
8.106 0.000 0.000
0.000 8.106 0.000
0.000 0.000 8.106
Mg Cd
6 6
Direct
0.000 0.250 0.500
0.000 0.750 0.500
0.250 0.500 0.000
0.500 0.000 0.250
0.500 0.000 0.750
0.750 0.500 0.000
0.000 0.500 0.250
0.000 0.500 0.750
0.250 0.000 0.500
0.500 0.250 0.000
0.500 0.750 0.000
0.750 0.000 0.500
```



The following is a GGA-PBE calculation of a relaxed structure of MgCd, from the Alexandria database.

Total DFT energy (no corrections) ... -15.24 eV per cell
SG ... P6_3/m

POSCAR file:
```
MgCd
1.0
8.019 0.000 0.000
-4.009 6.944 0.000
0.000 0.000 5.138
Mg Cd
6 6
Direct
0.056 0.804 0.250
0.196 0.252 0.250
0.252 0.056 0.750
0.748 0.944 0.250
0.804 0.748 0.750
0.944 0.196 0.750
0.095 0.619 0.750
0.381 0.476 0.750
0.476 0.095 0.250
0.524 0.905 0.750
0.619 0.524 0.250
0.905 0.381 0.250
```



The following is a GGA-PBE calculation of a relaxed structure of Mg2Cd, from the Alexandria database.

Total DFT energy (no corrections) ... -8.32 eV per cell
SG ... I4/mcm

POSCAR file:
```
Mg2Cd
1.0
-3.545 3.545 2.768
3.545 -3.545 2.768
3.545 3.545 -2.768
Mg Cd
4 2
Direct
0.152 0.652 0.805
0.348 0.152 0.500
0.652 0.848 0.500
0.848 0.348 0.195
0.250 0.250 0.000
0.750 0.750 0.000
```



The following is a GGA-PBE calculation of a relaxed structure of Mg6Cd, from the Alexandria database.

Total DFT energy (no corrections) ... -5.30 eV per cell
SG ... Im-3m

POSCAR file:
```
Mg6Cd
1.0
-4.126 4.126 4.126
4.126 -4.126 4.126
4.126 4.126 -4.126
Mg Cd
6 1
Direct
0.250 0.500 0.750
0.250 0.750 0.500
0.500 0.250 0.750
0.500 0.750 0.250
0.750 0.250 0.500
0.750 0.500 0.250
0.000 0.000 0.000
```



Number 1: total magnetization 0.000 μB per formula unit. Number 2: total magnetization 0.000 μB per formula unit. Number 3: total magnetization 0.000 μB per formula unit. Number 4: total magnetization 0.000 μB per formula unit. Number 5: total magnetization 0.000 μB per formula unit. Number 6: total magnetization 0.000 μB per formula unit. Number 7: total magnetization 0.000 μB per formula unit. Number 8: total magnetization 0.000 μB per formula unit.